1.
A plane-wave DFT calculation with GGA-PBE was carried out for crystalline Li2Y3Zn4 at its relaxed geometry.

a = 10.4401 Å, b = 4.5434 Å, c = 8.7357 Å
α = 90.00°, β = 113.86°, γ = 90.00°
Space group C2/m (No. 12)
Inequivalent atoms, fractional coordinates:
Li 0.1579 0.0000 0.3245
Y 0.0000 0.5000 0.0000
Y 0.1495 0.0000 0.6893
Zn 0.0654 0.5000 0.3970
Zn 0.2314 0.0000 0.0670

Properties
The density of states at the Fermi level is 16.10 states/eV per cell. The value obtained for the energy is -3.3630 eV per atom. The value obtained for the formation energy is -0.22 eV per atom.

---

2.
A plane-wave DFT calculation with GGA-PBE was carried out for crystalline Ba3AcAu3 at its relaxed geometry.

a = 8.0031 Å, b = 5.6159 Å, c = 11.3593 Å
α = 90.00°, β = 92.37°, γ = 90.00°
Space group P2_1/m (No. 11)
Inequivalent atoms, fractional coordinates:
Ba 0.0040 0.2500 0.1183
Ba 0.0142 0.7500 0.3639
Ba 0.4800 0.2500 0.6208
Ac 0.4879 0.7500 0.8756
Au 0.2477 0.7500 0.6256
Au 0.2766 0.2500 0.8837
Au 0.2866 0.7500 0.1236

Properties
The density of states at the Fermi level is 12.24 states/eV per cell. The value obtained for the energy is -3.4245 eV per atom. The value obtained for the energy above the most stable polymorph in this dataset is 0.000 eV/atom. The value obtained for the formation energy is -0.61 eV per atom.